First-principles (PBE) data for HfCrNi3 after structural relaxation, as listed in Alexandria via LeMat-Bulk.

Structure (extended XYZ):
```
5
Lattice="-1.242 4.324 0.584 -0.482 -0.739 4.450 4.337 1.156 0.662" Properties=species:S:1:pos:R:3 pbc="T T T"
Ni -0.241 -0.370 2.225
Ni 2.168 0.578 0.331
Ni -0.621 2.162 0.292
Hf 0.000 0.000 0.000
Cr 1.306 2.371 2.848
```

Calculated values
* spin magnetization: 4.17 μB/f.u.
* uncorrected energy: -31.02 eV/f.u.
* energy relative to the lowest polymorph listed for this composition: 556.2 meV per atom
* formation energy from the elements: 1.180 eV/atom

***

First-principles (PBE) data for LaIn2Rh after structural relaxation, as listed in Alexandria via LeMat-Bulk.

Structure (extended XYZ):
```
4
Lattice="-2.377 1.018 4.371 -4.303 -2.426 1.175 -0.036 -3.443 3.733" Properties=species:S:1:pos:R:3 pbc="T T T"
La -3.358 -2.425 4.639
In 0.000 0.000 0.000
In -5.037 -3.638 6.959
Rh -1.679 -1.213 2.320
```

Calculated values
* spin magnetization: 0.00 μB/f.u.
* uncorrected energy: -19.22 eV/f.u.
* formation energy from the elements: -0.365 eV/atom

***

First-principles (PBE) data for La2Ge4IrRh3 after structural relaxation, as listed in Alexandria via LeMat-Bulk.

Structure (extended XYZ):
```
10
Lattice="-0.218 2.256 -3.663 2.562 -2.878 -1.925 -8.182 -5.388 -2.833" Properties=species:S:1:pos:R:3 pbc="T T T"
La -2.104 -0.186 -2.522
La -4.906 -5.514 -3.105
Ge 1.172 -0.311 -2.794
Ge 0.000 0.000 0.000
Ge -5.257 -2.262 -3.614
Ge -1.753 -3.437 -2.013
Ir -2.919 -3.005 -4.210
Rh -4.091 -2.694 -1.416
Rh -7.256 -3.578 -4.306
Rh 0.245 -2.121 -1.321
```

Calculated values
* spin magnetization: 0.00 μB/f.u.
* uncorrected energy: -68.00 eV/f.u.
* energy relative to the lowest polymorph listed for this composition: 9.1 meV per atom
* formation energy from the elements: -0.876 eV/atom

***

First-principles (PBE) data for Th3V after structural relaxation, as listed in Alexandria via LeMat-Bulk.

Structure (extended XYZ):
```
4
Lattice="-1.883 -2.773 -1.369 4.701 -1.969 -2.479 -0.291 -0.601 6.404" Properties=species:S:1:pos:R:3 pbc="T T T"
Th 2.575 -2.462 1.444
Th 1.018 -2.207 -1.718
Th -0.836 -2.551 1.527
V 4.314 -1.806 -2.275
```

Calculated values
* spin magnetization: 2.45 μB/f.u.
* uncorrected energy: -30.29 eV/f.u.
* energy relative to the lowest polymorph listed for this composition: 0.0 meV per atom
* formation energy from the elements: 0.271 eV/atom